This record from Alexandria describes FeNi after structural relaxation. The functional is PBE-GGA.

E_tot: -6.856 eV/atom

The structure in CIF format:
```
data_FeNi
_chemical_formula_sum 'Fe4 Ni4'
_cell_length_a 3.3720
_cell_length_b 3.3720
_cell_length_c 9.0637
_cell_angle_alpha 100.72
_cell_angle_beta 100.72
_cell_angle_gamma 90.00
_symmetry_space_group_name_H-M 'P 1'
_symmetry_Int_Tables_number 1
_symmetry_space_group_name_Hall 'P 1'
loop_
_atom_site_label
_atom_site_fract_x
_atom_site_fract_y
_atom_site_fract_z
Fe1 0.5553 0.0553 0.1106
Fe2 0.8053 0.8053 0.6106
Fe3 0.1947 0.1947 0.3894
Fe4 0.9447 0.4447 0.8894
Ni1 0.4217 0.9217 0.8433
Ni2 0.6717 0.6717 0.3433
Ni3 0.3283 0.3283 0.6567
Ni4 0.0783 0.5783 0.1567
```

***

This record from Alexandria describes MgCoI after structural relaxation. The functional is PBE-GGA.

E_form (uncorrected): -14 kJ per mole of atoms
energy relative to the lowest polymorph listed for this composition: 98.1 meV per atom

The structure in CIF format:
```
data_MgCoI
_chemical_formula_sum 'Mg2 Co2 I2'
_cell_length_a 3.8633
_cell_length_b 3.8576
_cell_length_c 11.0580
_cell_angle_alpha 110.34
_cell_angle_beta 84.65
_cell_angle_gamma 90.01
_symmetry_space_group_name_H-M 'P 1'
_symmetry_Int_Tables_number 1
_symmetry_space_group_name_Hall 'P 1'
loop_
_atom_site_label
_atom_site_fract_x
_atom_site_fract_y
_atom_site_fract_z
I1 0.7516 0.4830 0.9564
I2 0.3642 0.5995 0.5747
Mg1 0.0228 0.9178 0.3941
Mg2 0.0935 0.1616 0.1369
Co1 0.5302 0.3476 0.3234
Co2 0.5860 0.7323 0.2077
```

***

This record from Alexandria describes BaCuAg after structural relaxation. The functional is PBE-GGA.

energy relative to the lowest polymorph listed for this composition: 0.0 meV per atom

The structure in CIF format:
```
data_BaCuAg
_chemical_formula_sum 'Ba1 Cu1 Ag1'
_cell_length_a 4.6632
_cell_length_b 4.6632
_cell_length_c 4.4918
_cell_angle_alpha 90.00
_cell_angle_beta 90.00
_cell_angle_gamma 120.00
_symmetry_space_group_name_H-M 'P 1'
_symmetry_Int_Tables_number 1
_symmetry_space_group_name_Hall 'P 1'
loop_
_atom_site_label
_atom_site_fract_x
_atom_site_fract_y
_atom_site_fract_z
Cu1 0.3333 0.6667 0.8336
Ba1 0.6667 0.3333 0.3333
Ag1 0.0000 0.0000 0.8331
```

***

This record from Alexandria describes La4ZnCl after structural relaxation. The functional is PBE-GGA.

E_form (uncorrected): 17 kJ per mole of atoms

The structure in CIF format:
```
data_La4ZnCl
_chemical_formula_sum 'La4 Zn1 Cl1'
_cell_length_a 6.4824
_cell_length_b 6.4824
_cell_length_c 6.4824
_cell_angle_alpha 60.00
_cell_angle_beta 60.00
_cell_angle_gamma 60.00
_symmetry_space_group_name_H-M 'P 1'
_symmetry_Int_Tables_number 1
_symmetry_space_group_name_Hall 'P 1'
loop_
_atom_site_label
_atom_site_fract_x
_atom_site_fract_y
_atom_site_fract_z
La1 0.8660 0.3780 0.3780
La2 0.3780 0.3780 0.8660
La3 0.3780 0.8660 0.3780
La4 0.3780 0.3780 0.3780
Zn1 0.7500 0.7500 0.7500
Cl1 0.0000 0.0000 0.0000
```

***

This record from Alexandria describes Ac2CdP2N6 after structural relaxation. The functional is PBE-GGA.

E_form (uncorrected): -45 kJ per mole of atoms

The structure in CIF format:
```
data_Ac2CdP2N6
_chemical_formula_sum 'Ac2 Cd1 P2 N6'
_cell_length_a 5.9044
_cell_length_b 5.9044
_cell_length_c 6.2598
_cell_angle_alpha 90.00
_cell_angle_beta 90.00
_cell_angle_gamma 120.00
_symmetry_space_group_name_H-M 'P 1'
_symmetry_Int_Tables_number 1
_symmetry_space_group_name_Hall 'P 1'
loop_
_atom_site_label
_atom_site_fract_x
_atom_site_fract_y
_atom_site_fract_z
Ac1 0.6667 0.3333 0.7171
Ac2 0.3333 0.6667 0.2829
Cd1 0.0000 0.0000 0.0000
P1 0.3333 0.6667 0.7797
P2 0.6667 0.3333 0.2203
N1 0.1080 0.3693 0.7709
N2 0.6307 0.7386 0.7709
N3 0.2614 0.8920 0.7709
N4 0.8920 0.6307 0.2291
N5 0.3693 0.2614 0.2291
N6 0.7386 0.1080 0.2291
```

***

This record from Alexandria describes KAsO3 after structural relaxation. The functional is PBE-GGA.

E_form (uncorrected): -134 kJ per mole of atoms

The structure in CIF format:
```
data_KAsO3
_chemical_formula_sum 'K2 As2 O6'
_cell_length_a 6.0377
_cell_length_b 4.9572
_cell_length_c 6.0357
_cell_angle_alpha 86.14
_cell_angle_beta 119.43
_cell_angle_gamma 85.89
_symmetry_space_group_name_H-M 'P 1'
_symmetry_Int_Tables_number 1
_symmetry_space_group_name_Hall 'P 1'
loop_
_atom_site_label
_atom_site_fract_x
_atom_site_fract_y
_atom_site_fract_z
K1 0.3254 0.9015 0.4094
K2 0.6601 0.4006 0.0746
As1 0.9927 0.1507 0.7420
As2 0.9927 0.6507 0.7420
O1 0.1291 0.3637 0.0154
O2 0.8564 0.9377 0.4685
O3 0.2662 0.8630 0.8784
O4 0.8559 0.9015 0.8787
O5 0.1295 0.3999 0.6052
O6 0.7193 0.4384 0.6056
```

***

This record from Alexandria describes PrTmSi2Pd5 after structural relaxation. The functional is PBE-GGA.

E_form (uncorrected): -84 kJ per mole of atoms

The structure in CIF format:
```
data_PrTmSi2Pd5
_chemical_formula_sum 'Pr1 Tm1 Si2 Pd5'
_cell_length_a 4.2210
_cell_length_b 4.2210
_cell_length_c 9.0182
_cell_angle_alpha 90.00
_cell_angle_beta 90.00
_cell_angle_gamma 90.00
_symmetry_space_group_name_H-M 'P 1'
_symmetry_Int_Tables_number 1
_symmetry_space_group_name_Hall 'P 1'
loop_
_atom_site_label
_atom_site_fract_x
_atom_site_fract_y
_atom_site_fract_z
Pr1 0.0000 0.0000 0.5000
Tm1 0.0000 0.0000 0.0000
Si1 0.5000 0.5000 0.1294
Si2 0.5000 0.5000 0.8706
Pd1 0.0000 0.5000 0.2603
Pd2 0.5000 0.0000 0.2603
Pd3 0.0000 0.5000 0.7397
Pd4 0.5000 0.0000 0.7397
Pd5 0.5000 0.5000 0.5000
```

***

This record from Alexandria describes InCo2H after structural relaxation. The functional is PBE-GGA.

energy relative to the lowest polymorph listed for this composition: 48.3 meV per atom

The structure in CIF format:
```
data_InCo2H
_chemical_formula_sum 'In1 Co2 H1'
_cell_length_a 2.8745
_cell_length_b 2.8745
_cell_length_c 6.4672
_cell_angle_alpha 77.16
_cell_angle_beta 77.16
_cell_angle_gamma 60.00
_symmetry_space_group_name_H-M 'P 1'
_symmetry_Int_Tables_number 1
_symmetry_space_group_name_Hall 'P 1'
loop_
_atom_site_label
_atom_site_fract_x
_atom_site_fract_y
_atom_site_fract_z
H1 0.0000 0.0000 0.0000
Co1 0.2832 0.2832 0.1504
Co2 0.7168 0.7168 0.8496
In1 0.5000 0.5000 0.5000
```

***

This record from Alexandria describes Hf8InN2 after structural relaxation. The functional is PBE-GGA.

E_form (uncorrected): -26 kJ per mole of atoms

The structure in CIF format:
```
data_Hf8InN2
_chemical_formula_sum 'Hf8 In1 N2'
_cell_length_a 5.6918
_cell_length_b 7.2034
_cell_length_c 7.2034
_cell_angle_alpha 52.69
_cell_angle_beta 81.03
_cell_angle_gamma 81.03
_symmetry_space_group_name_H-M 'P 1'
_symmetry_Int_Tables_number 1
_symmetry_space_group_name_Hall 'P 1'
loop_
_atom_site_label
_atom_site_fract_x
_atom_site_fract_y
_atom_site_fract_z
Hf1 0.3047 0.3619 0.8379
Hf2 0.6953 0.1621 0.6381
Hf3 0.2931 0.8021 0.8021
Hf4 0.7069 0.1979 0.1979
Hf5 0.3047 0.8379 0.3619
Hf6 0.6953 0.6381 0.1621
Hf7 0.7869 0.6481 0.6481
Hf8 0.2131 0.3519 0.3519
In1 0.0000 0.0000 0.0000
N1 0.6533 0.8093 0.8093
N2 0.3467 0.1907 0.1907
```

***

This record from Alexandria describes Be3InGe after structural relaxation. The functional is PBE-GGA.

energy relative to the lowest polymorph listed for this composition: 0.0 meV per atom

The structure in CIF format:
```
data_Be3InGe
_chemical_formula_sum 'Be3 In1 Ge1'
_cell_length_a 4.3785
_cell_length_b 4.3785
_cell_length_c 4.3785
_cell_angle_alpha 90.00
_cell_angle_beta 90.00
_cell_angle_gamma 90.00
_symmetry_space_group_name_H-M 'P 1'
_symmetry_Int_Tables_number 1
_symmetry_space_group_name_Hall 'P 1'
loop_
_atom_site_label
_atom_site_fract_x
_atom_site_fract_y
_atom_site_fract_z
Be1 0.0000 0.5000 0.0000
Be2 0.0000 0.0000 0.5000
Be3 0.5000 0.0000 0.0000
Ge1 0.0000 0.0000 0.0000
In1 0.5000 0.5000 0.5000
```

***

This record from Alexandria describes ZrTi3Pd after structural relaxation. The functional is PBE-GGA.

energy relative to the lowest polymorph listed for this composition: 634.5 meV per atom

The structure in CIF format:
```
data_ZrTi3Pd
_chemical_formula_sum 'Zr1 Ti3 Pd1'
_cell_length_a 4.7238
_cell_length_b 4.7238
_cell_length_c 4.7238
_cell_angle_alpha 90.00
_cell_angle_beta 90.00
_cell_angle_gamma 90.00
_symmetry_space_group_name_H-M 'P 1'
_symmetry_Int_Tables_number 1
_symmetry_space_group_name_Hall 'P 1'
loop_
_atom_site_label
_atom_site_fract_x
_atom_site_fract_y
_atom_site_fract_z
Zr1 0.0000 0.0000 0.0000
Pd1 0.5000 0.5000 0.5000
Ti1 0.0000 0.5000 0.0000
Ti2 0.0000 0.0000 0.5000
Ti3 0.5000 0.0000 0.0000
```

***

This record from Alexandria describes Ag3Ir5 after structural relaxation. The functional is PBE-GGA.

energy relative to the lowest polymorph listed for this composition: 382.9 meV per atom

The structure in CIF format:
```
data_Ag3Ir5
_chemical_formula_sum 'Ag6 Ir10'
_cell_length_a 8.1248
_cell_length_b 8.1277
_cell_length_c 4.7763
_cell_angle_alpha 90.00
_cell_angle_beta 90.00
_cell_angle_gamma 120.01
_symmetry_space_group_name_H-M 'P 1'
_symmetry_Int_Tables_number 1
_symmetry_space_group_name_Hall 'P 1'
loop_
_atom_site_label
_atom_site_fract_x
_atom_site_fract_y
_atom_site_fract_z
Ir1 0.0000 0.1834 0.2500
Ir2 0.0000 0.8166 0.7500
Ir3 0.1835 0.0000 0.2500
Ir4 0.1836 0.1835 0.7500
Ir5 0.3334 0.6667 0.0000
Ir6 0.3334 0.6667 0.5000
Ir7 0.6666 0.3333 0.0000
Ir8 0.6666 0.3333 0.5000
Ir9 0.8165 0.0000 0.7500
Ir10 0.8165 0.8165 0.2500
Ag1 0.0000 0.3985 0.7500
Ag2 0.0000 0.6015 0.2500
Ag3 0.3986 0.9999 0.7500
Ag4 0.3987 0.3987 0.2500
Ag5 0.6014 0.0000 0.2500
Ag6 0.6014 0.6013 0.7500
```